Entry 1:
VASP calculation (SCAN) on a PBEsol-optimized structure of Rb4CO4.

Calculated values
The calculation puts the calculated total energy at -131.0 eV/cell. The calculation puts the offset from the most stable computed form at 0 meV/atom. As for the magnetic moment: 0.002 Bohr magnetons per cell. Its space group is I222.

Lattice parameters (Å, degrees): 5.304 6.607 6.635 119.86 113.56 90.00
Positions (direct):
O (0.237, 0.707, 0.166)
O (0.070, 0.293, 0.834)
O (0.763, 0.541, 0.834)
O (0.930, 0.459, 0.166)
Rb (0.512, 0.105, 0.709)
Rb (0.488, 0.396, 0.291)
Rb (0.803, 0.895, 0.291)
Rb (0.197, 0.604, 0.709)
C (0.000, 0.500, 0.000)

***

Entry 2:
VASP calculation (SCAN) on a PBEsol-optimized structure of Rb2Sr2C3O9.

Calculated values
The calculation puts the calculated total energy at -417.2 eV/cell. As for the magnetic moment: 0.001 Bohr magnetons per cell. Its space group is I2_13.

Lattice parameters (Å, degrees): 8.482 8.482 8.482 109.47 109.47 109.47
Positions (direct):
O (0.750, 0.525, 0.775)
O (0.343, 0.756, 0.640)
O (0.617, 0.703, 0.860)
O (0.703, 0.360, 0.117)
O (0.744, 0.586, 0.383)
O (0.360, 0.617, 0.203)
O (0.797, 0.914, 0.657)
O (0.140, 0.343, 0.256)
O (0.250, 0.975, 0.725)
O (0.586, 0.883, 0.244)
O (0.883, 0.744, 0.086)
O (0.525, 0.275, 0.250)
O (0.756, 0.140, 0.843)
O (0.225, 0.250, 0.475)
O (0.157, 0.797, 0.414)
O (0.914, 0.157, 0.297)
O (0.275, 0.750, 0.025)
O (0.975, 0.225, 0.750)
Rb (0.000, 0.500, 0.623)
Rb (0.123, 0.000, 0.000)
Rb (0.377, 0.377, 0.877)
Rb (0.500, 0.123, 0.500)
Sr (0.581, 0.000, 0.000)
Sr (0.500, 0.581, 0.500)
Sr (0.919, 0.919, 0.419)
Sr (0.000, 0.500, 0.081)
C (0.842, 0.092, 0.750)
C (0.408, 0.750, 0.158)
C (0.250, 0.842, 0.592)
C (0.092, 0.250, 0.342)
C (0.658, 0.408, 0.250)
C (0.750, 0.658, 0.908)

***

Entry 3:
VASP calculation (SCAN) on a PBEsol-optimized structure of ReCO2.

Calculated values
The calculation puts the calculated total energy at -176.3 eV/cell. As for the magnetic moment: 0.001 Bohr magnetons per cell. Its space group is I-42d.

Lattice parameters (Å, degrees): 4.832 4.832 5.404 116.55 116.55 90.00
Positions (direct):
O (0.625, 0.657, 0.750)
O (0.907, 0.375, 0.250)
O (0.343, 0.875, 0.250)
O (0.125, 0.093, 0.750)
Re (0.000, 0.000, 0.000)
Re (0.250, 0.750, 0.500)
C (0.500, 0.500, 0.000)
C (0.750, 0.250, 0.500)

***

Entry 4:
VASP calculation (SCAN) on a PBEsol-optimized structure of Sr2ReCO.

Calculated values
The calculation puts the calculated total energy at -131.9 eV/cell. As for the magnetic moment: 1.539 Bohr magnetons per cell. Its space group is P4/mmm.

Lattice parameters (Å, degrees): 3.885 5.276 5.276 90.00 90.00 90.00
Positions (direct):
Sr (0.000, 0.000, 0.500)
Sr (0.000, 0.500, 0.000)
O (0.500, 0.500, 0.500)
C (0.000, 0.000, 0.000)
Re (0.500, 0.000, 0.000)